i.
Ho2PuCo | PBE | optimized geometry

Total moment: 1.62 μB/atom
Density: 9.65 Mg/m³
Calculated volume: 108.8 Å³ per cell
Space group: R-3m

a b c (Å): 3.5298 3.5298 10.2904
angles (deg): 80.12 80.12 60.00
Fractional positions:
1 Co 0.5000 0.5000 0.5000
2 Ho 0.1122 0.1122 0.6635
3 Ho 0.8878 0.8878 0.3365
4 Pu 0.0000 0.0000 0.0000

---

ii.
Ho2PuCo | PBE | optimized geometry

Total moment: 1.54 μB/atom
Density: 10.86 Mg/m³
Calculated volume: 96.8 Å³ per cell
Space group: P4/mmm

a b c (Å): 3.3469 3.3469 8.6386
angles (deg): 90.00 90.00 90.00
Fractional positions:
1 Co 0.5000 0.5000 0.0000
2 Ho 0.0000 0.0000 0.8136
3 Ho 0.0000 0.0000 0.1864
4 Pu 0.5000 0.5000 0.5000

---

Preferred: ii; penalty for the next structure: 0.259 eV/atom.